First-principles (PBE-GGA) data for LiW after structural relaxation, as listed in Alexandria.

a b c (Å): 2.6962 2.6962 9.5849
angles (deg): 90.00 90.00 110.01
Atoms (fractional coordinates):
Li 0.0000 0.0000 0.0097
Li 0.5000 0.5000 0.7403
W 0.0000 0.0000 0.4935
W 0.5000 0.5000 0.2565

Values from the calculation:
energy relative to the lowest polymorph listed for this composition	0.0	meV per atom
calculated formation energy	0.268	eV per atom
calculated total energy	-7.17	eV/atom
size of the total moment	0.00	μB per cell
symmetry	Cmme